#w
# meta-GGA SCAN Li2CdAu, single point on PBEsol structure
# D(E_F) (states/eV per cell): 1.0
# Calculated volume (Å³/atom): 15.78
# Crystal system: tetragonal
data_Li2CdAu
_chemical_formula_sum 'Li2 Cd1 Au1'
_cell_length_a 3.273
_cell_length_b 3.275
_cell_length_c 5.889
_cell_angle_alpha 90.00
_cell_angle_beta 90.00
_cell_angle_gamma 90.00
_symmetry_space_group_name_H-M 'P 1'
_symmetry_Int_Tables_number 1
loop_
_symmetry_equiv_pos_as_xyz
'x,y,z'
loop_
_atom_site_label
_atom_site_fract_x
_atom_site_fract_y
_atom_site_fract_z
Cd1 0.500 0.500 0.500
Li1 0.000 0.000 0.226
Li2 0.000 0.000 0.774
Au1 0.500 0.500 0.000

#x
# meta-GGA SCAN Li2CdAu, single point on PBEsol structure
# D(E_F) (states/eV per cell): 1.2
# Calculated volume (Å³/atom): 15.41
# Crystal system: tetragonal
data_Li2CdAu
_chemical_formula_sum 'Li2 Cd1 Au1'
_cell_length_a 4.387
_cell_length_b 4.458
_cell_length_c 4.387
_cell_angle_alpha 119.48
_cell_angle_beta 90.00
_cell_angle_gamma 119.48
_symmetry_space_group_name_H-M 'P 1'
_symmetry_Int_Tables_number 1
loop_
_symmetry_equiv_pos_as_xyz
'x,y,z'
loop_
_atom_site_label
_atom_site_fract_x
_atom_site_fract_y
_atom_site_fract_z
Au1 0.000 0.000 0.000
Li1 0.750 0.500 0.250
Li2 0.250 0.500 0.750
Cd1 0.500 0.000 0.500

#y
# meta-GGA SCAN Li2CdAu, single point on PBEsol structure
# D(E_F) (states/eV per cell): 1.4
# Calculated volume (Å³/atom): 16.55
# Crystal system: cubic
data_Li2CdAu
_chemical_formula_sum 'Li2 Cd1 Au1'
_cell_length_a 4.541
_cell_length_b 4.541
_cell_length_c 4.541
_cell_angle_alpha 60.00
_cell_angle_beta 60.00
_cell_angle_gamma 60.00
_symmetry_space_group_name_H-M 'P 1'
_symmetry_Int_Tables_number 1
loop_
_symmetry_equiv_pos_as_xyz
'x,y,z'
loop_
_atom_site_label
_atom_site_fract_x
_atom_site_fract_y
_atom_site_fract_z
Li1 0.750 0.750 0.750
Li2 0.000 0.000 0.000
Au1 0.500 0.500 0.500
Cd1 0.250 0.250 0.250

The least stable of the structures above is #w, whereas #y is the most stable.